Computed, not measured: a relaxed structure of Ca2Al9Rh3 at the PBE level of DFT.

Cell lengths 7.5769, 7.5769, 10.6290 Å; angles 89.72, 110.89, 120.44 degrees
Closest atoms and distances in Å follow each position.
Fractional positions:
Ca 0.3371 0.2482 0.7508  11 Al 3.07-3.17, 1 Rh 3.43
Ca 0.6629 0.7518 0.2492  11 Al 3.07-3.17, 1 Rh 3.43
Ca 0.0025 0.4137 0.2508  11 Al 3.07-3.17, 1 Rh 3.43
Ca 0.9975 0.5863 0.7492  11 Al 3.07-3.17, 1 Rh 3.43
Rh 0.8434 0.1721 0.4994  8 Al 2.57-2.62
Rh 0.5000 0.5000 0.5000  8 Al 2.59-2.62
Rh 0.1566 0.8279 0.5006  8 Al 2.57-2.62
Rh 0.5000 0.0000 0.0000  8 Al 2.59-2.62
Rh 0.1727 0.3441 0.0006  8 Al 2.57-2.62
Rh 0.8273 0.6559 0.9994  8 Al 2.57-2.62
Al 0.3294 0.2885 0.2480  2 Rh 2.60-2.62, 6 Al 2.74-2.88
Al 0.8750 0.8572 0.5677  3 Rh 2.58-2.59, 5 Al 2.77-2.89
Al 0.4634 0.8174 0.4475  3 Rh 2.59-2.62, 4 Al 2.69-2.88
Al 0.2173 0.5263 0.5715  3 Rh 2.57-2.61, 3 Al 2.76-2.81
Al 0.5405 0.0815 0.2520  2 Rh 2.60-2.62, 6 Al 2.74-2.88
Al 0.1301 0.9841 0.9475  3 Rh 2.59-2.62, 4 Al 2.69-2.88
Al 0.8808 0.1308 0.7500  2 Rh 2.61, 6 Al 2.74-2.91
Al 0.4595 0.9185 0.7480  2 Rh 2.60-2.62, 6 Al 2.74-2.88
Al 0.7895 0.3074 0.9323  3 Rh 2.58-2.59, 5 Al 2.77-2.89
Al 0.8699 0.0159 0.0525  3 Rh 2.59-2.62, 4 Al 2.69-2.88
Al 0.5366 0.1826 0.5525  3 Rh 2.59-2.62, 4 Al 2.69-2.88
Al 0.1192 0.8692 0.2500  2 Rh 2.61, 6 Al 2.74-2.91
Al 0.4547 0.6458 0.9285  3 Rh 2.57-2.61, 3 Al 2.76-2.81
Al 0.6706 0.7115 0.7520  2 Rh 2.60-2.62, 6 Al 2.74-2.88
Al 0.7827 0.4737 0.4285  3 Rh 2.57-2.61, 3 Al 2.76-2.81
Al 0.1250 0.1428 0.4323  3 Rh 2.58-2.59, 5 Al 2.77-2.89
Al 0.2105 0.6926 0.0677  3 Rh 2.58-2.59, 5 Al 2.77-2.89
Al 0.5453 0.3542 0.0715  3 Rh 2.57-2.61, 3 Al 2.76-2.81

Output
Symmetry: No. 15
Crystal system: monoclinic
VASP energy: -139.3 eV per cell